A plane-wave DFT calculation with PBE was carried out for a geometry-optimized Zr2Al2Au structure.

a = 6.638 Å, b = 6.638 Å, c = 4.316 Å
α = 90.00°, β = 90.00°, γ = 90.00°
Sites, in units of the cell vectors:
Al1 0.637 0.137 0.000
Al2 0.137 0.363 0.000
Al3 0.863 0.637 0.000
Al4 0.363 0.863 0.000
Au1 0.000 0.000 0.000
Au2 0.500 0.500 0.000
Zr1 0.336 0.164 0.500
Zr2 0.836 0.336 0.500
Zr3 0.164 0.664 0.500
Zr4 0.664 0.836 0.500

raw total energy = -0.2261 Ha/atom